# 1
# MnHg2Au PBE-GGA relaxed
# Energy relative to the lowest polymorph listed for this composition ... 0.250 eV per formula unit
# Formation energy ... 17.6 kJ/mol of atoms
data_MnHg2Au
_chemical_formula_sum 'Mn3 Hg6 Au3'
_cell_length_a 3.1969
_cell_length_b 3.1969
_cell_length_c 27.8999
_cell_angle_alpha 90.00
_cell_angle_beta 90.00
_cell_angle_gamma 120.00
_symmetry_space_group_name_H-M 'R 3 m'
_symmetry_Int_Tables_number 160
_symmetry_space_group_name_Hall 'R 3 -2"'
loop_
_atom_site_label
_atom_site_fract_x
_atom_site_fract_y
_atom_site_fract_z
_atom_site_occupancy
Mn1 0.0000 0.0000 0.0000 1
Hg1 0.0000 0.0000 0.2553 1
Hg2 0.0000 0.0000 0.4906 1
Au1 0.0000 0.0000 0.7361 1

# 2
# MnHg2Au PBE-GGA relaxed
# Energy relative to the lowest polymorph listed for this composition ... 0.356 eV per formula unit
# Formation energy ... 20.2 kJ/mol of atoms
data_MnHg2Au
_chemical_formula_sum 'Mn4 Hg8 Au4'
_cell_length_a 6.7619
_cell_length_b 6.7619
_cell_length_c 6.7619
_cell_angle_alpha 90.00
_cell_angle_beta 90.00
_cell_angle_gamma 90.00
_symmetry_space_group_name_H-M 'F m -3 m'
_symmetry_Int_Tables_number 225
_symmetry_space_group_name_Hall '-F 4 2 3'
loop_
_atom_site_label
_atom_site_fract_x
_atom_site_fract_y
_atom_site_fract_z
_atom_site_occupancy
Mn1 0.0000 0.0000 0.0000 1
Hg1 0.2500 0.2500 0.2500 1
Au1 0.0000 0.0000 0.5000 1